Record 1
# Zn3CoIr | the Alexandria database | GGA-PBEsol | relaxed
data_Zn3CoIr
_chemical_formula_sum 'Zn3 Co1 Ir1'
_space_group_name_H-M_alt 'P m -3 m'
_space_group_IT_number 221
_space_group_name_Hall '-P 4 2 3'
_cell_length_a 4.654
_cell_length_b 4.654
_cell_length_c 4.654
_cell_angle_alpha 90.00
_cell_angle_beta 90.00
_cell_angle_gamma 90.00
loop_
_atom_site_label
_atom_site_fract_x
_atom_site_fract_y
_atom_site_fract_z
_atom_site_occupancy
Zn1 0.000 0.000 0.500 1
Co1 0.500 0.500 0.500 1
Ir1 0.000 0.000 0.000 1
# raw total energy	-3.48	eV/atom



Record 2
# ZrCoIr2 | the Alexandria database | GGA-PBEsol | relaxed
data_ZrCoIr2
_chemical_formula_sum 'Zr1 Co1 Ir2'
_space_group_name_H-M_alt 'P 4 m m'
_space_group_IT_number 99
_space_group_name_Hall 'P 4 -2'
_cell_length_a 3.252
_cell_length_b 3.252
_cell_length_c 5.644
_cell_angle_alpha 90.00
_cell_angle_beta 90.00
_cell_angle_gamma 90.00
loop_
_atom_site_label
_atom_site_fract_x
_atom_site_fract_y
_atom_site_fract_z
_atom_site_occupancy
Zr1 0.000 0.000 0.000 1
Co1 0.500 0.500 0.281 1
Ir1 0.000 0.000 0.458 1
Ir2 0.500 0.500 0.734 1
# raw total energy	-9.27	eV/atom



Record 3
# ZrCoIr2 | the Alexandria database | GGA-PBEsol | relaxed
data_ZrCoIr2
_chemical_formula_sum 'Zr3 Co3 Ir6'
_space_group_name_H-M_alt 'R -3 m'
_space_group_IT_number 166
_space_group_name_Hall '-R 3 2"'
_cell_length_a 2.7583
_cell_length_b 2.7583
_cell_length_c 26.6246
_cell_angle_alpha 90.00
_cell_angle_beta 90.00
_cell_angle_gamma 120.00
loop_
_atom_site_label
_atom_site_fract_x
_atom_site_fract_y
_atom_site_fract_z
_atom_site_occupancy
Zr1 0.0000 0.0000 0.0000 1
Co1 0.0000 0.0000 0.5000 1
Ir1 0.0000 0.0000 0.2425 1
# raw total energy	-9.14	eV/atom



> raw total energy of number 2 (ZrCoIr2)?

-9.27 eV/atom